{
  "formula": "Nd4GePBr2",
  "functional": "PBE",
  "state": "optimized geometry",
  "lattice": [[7.3227, 0.0000, 0.0000], [0.0000, 4.2268, 0.0000], [-2.4428, 0.0000, 7.3515]],
  "species": ["Nd", "Nd", "Nd", "Nd", "Ge", "P", "Br", "Br"],
  "frac_coords": [[0.2277, 0.0000, 0.2043], [0.2565, 0.5000, 0.7914], [0.7435, 0.5000, 0.2086], [0.7723, 0.0000, 0.7957], [0.5000, 0.0000, 0.0000], [0.0000, 0.5000, 0.0000], [0.0000, 0.0000, 0.5000], [0.5000, 0.5000, 0.5000]],
  "e_form_raw_ev_per_atom": -1.330,
  "e_tot_ev_per_atom": -5.385
}